# 1
# Te2Se (PBE, relaxed)
data_Te2Se
_space_group_name_H-M_alt 'P 1'
_space_group_IT_number 1
_space_group_name_Hall 'P 1'
_cell_length_a 12.023
_cell_length_b 12.023
_cell_length_c 12.023
_cell_angle_alpha 161.84
_cell_angle_beta 161.84
_cell_angle_gamma 25.80
loop_
_atom_site_label
_atom_site_type_symbol
_atom_site_fract_x
_atom_site_fract_y
_atom_site_fract_z
_atom_site_occupancy
Se1 Se 0.750 0.250 0.500 1
Te1 Te 0.328 0.828 0.500 1
Te2 Te 0.578 0.578 0.000 1
Te3 Te 0.172 0.672 0.500 1
Se2 Se 0.000 0.000 0.000 1
Te4 Te 0.422 0.422 0.000 1
# SG ... No. 141
# Energy relative to the lowest polymorph listed for this composition ... 0.228 eV per atom
# Formation energy (no corrections) ... 0.270 eV per atom


# 2
# Y2InAu (PBE, relaxed)
data_Y2InAu
_space_group_name_H-M_alt 'P 1'
_space_group_IT_number 1
_space_group_name_Hall 'P 1'
_cell_length_a 3.619
_cell_length_b 3.619
_cell_length_c 7.683
_cell_angle_alpha 90.00
_cell_angle_beta 90.00
_cell_angle_gamma 90.00
loop_
_atom_site_label
_atom_site_type_symbol
_atom_site_fract_x
_atom_site_fract_y
_atom_site_fract_z
_atom_site_occupancy
Au1 Au 0.500 0.500 0.250 1
Y1 Y 0.000 0.000 0.482 1
Y2 Y 0.000 0.000 0.018 1
In1 In 0.500 0.500 0.750 1
# SG ... No. 123
# Formation energy ... -0.69 eV/atom


Here are the calculated total moment numbers, same order: 0.00; 0.00 (μB/atom).